No. 1
Material: Gd3NbS3O4
Method: DFT, meta-GGA SCAN
State: PBEsol geometry

raw formation energy = -2.89 eV/atom
spin magnetization = 20.97 μB per formula unit
Fermi-level density of states = 0.00 states/eV per cell

Cell lengths 6.574, 14.033, 7.560 Å; angles 90.00, 90.00, 90.00 degrees
Space group Pna2_1 (No. 33)
Unique sites:
Gd: 0.215 0.157 0.000 [4 per cell]
Gd: 0.222 0.918 0.756 [4 per cell]
Gd: 0.226 0.171 0.509 [4 per cell]
Nb: 0.184 0.927 0.242 [4 per cell]
S: 0.001 0.274 0.244 [4 per cell]
S: 0.028 0.493 0.531 [4 per cell]
S: 0.043 0.298 0.767 [4 per cell]
O: 0.124 0.859 0.025 [4 per cell]
O: 0.126 0.885 0.479 [4 per cell]
O: 0.133 0.074 0.741 [4 per cell]
O: 0.142 0.065 0.264 [4 per cell]



No. 2
Material: NdGd3
Method: DFT, meta-GGA SCAN
State: PBEsol geometry

spin magnetization = 22.99 μB per formula unit
Fermi-level density of states = 5.38 states/eV per cell
ΔH_f (0 K) = 0.09 eV/atom

Cell lengths 4.974, 4.974, 4.974 Å; angles 90.00, 90.00, 90.00 degrees
Space group Pm-3m (No. 221)
Unique sites:
Nd: 0.000 0.000 0.000 [1 per cell]
Gd: 0.000 0.500 0.500 [3 per cell]



No. 3
Material: Gd2Ni7
Method: DFT, meta-GGA SCAN
State: PBEsol geometry

spin magnetization = 1.82 μB per formula unit
Fermi-level density of states = 38.78 states/eV per cell
ΔH_f (0 K) = -0.31 eV/atom

Cell lengths 4.8688, 4.8688, 35.7626 Å; angles 90.00, 90.00, 120.00 degrees
Space group R-3m (No. 166, hexagonal axes)
Unique sites:
Gd: 0.0000 0.0000 0.0508 [6 per cell]
Gd: 0.0000 0.0000 0.1473 [6 per cell]
Ni: 0.0000 0.0000 0.2783 [6 per cell]
Ni: 0.0000 0.0000 0.3881 [6 per cell]
Ni: 0.0000 0.0000 0.5000 [3 per cell]
Ni: 0.0000 0.5000 0.0000 [9 per cell]
Ni: 0.9995 0.4998 0.1094 [18 per cell]



No. 4
Material: GdNi
Method: DFT, meta-GGA SCAN
State: PBEsol geometry

spin magnetization = 7.47 μB per formula unit
Fermi-level density of states = 5.19 states/eV per cell
ΔH_f (0 K) = -0.34 eV/atom

Cell lengths 3.672, 10.098, 4.190 Å; angles 90.00, 90.00, 90.00 degrees
Space group Cmcm (No. 63)
Unique sites:
Gd: 0.000 0.139 0.250 [4 per cell]
Ni: 0.000 0.427 0.250 [4 per cell]